The following is a DFT calculation (PBE-GGA) of crystalline ZrGa2Ir at its relaxed geometry.

Cell lengths 5.847, 5.847, 5.847 Å; angles 102.89, 102.89, 123.62 degrees
Fractional coordinates of all 8 atoms:
Zr: 0.000 0.000 0.000
Zr: 0.750 0.250 0.500
Ga: 0.160 0.625 0.035
Ga: 0.375 0.410 0.535
Ga: 0.590 0.125 0.965
Ga: 0.875 0.840 0.465
Ir: 0.250 0.750 0.500
Ir: 0.500 0.500 0.000


The following is a DFT calculation (PBE-GGA) of crystalline ZrGa4Ir at its relaxed geometry.

Cell lengths 4.163, 6.638, 7.804 Å; angles 90.00, 105.10, 90.00 degrees
Fractional coordinates of all 12 atoms:
Zr: 0.132 0.250 0.257
Zr: 0.868 0.750 0.743
Ga: 0.055 0.750 0.110
Ga: 0.322 0.045 0.646
Ga: 0.322 0.455 0.646
Ga: 0.500 0.000 0.000
Ga: 0.500 0.500 0.000
Ga: 0.678 0.545 0.354
Ga: 0.678 0.955 0.354
Ga: 0.945 0.250 0.890
Ir: 0.218 0.750 0.438
Ir: 0.782 0.250 0.562


The following is a DFT calculation (PBE-GGA) of crystalline Zr3Ga4Ir2 at its relaxed geometry.

Cell lengths 5.567, 5.567, 8.014 Å; angles 111.23, 111.23, 44.73 degrees
Fractional coordinates of all 9 atoms:
Zr: 0.000 0.000 0.000
Zr: 0.360 0.360 0.314
Zr: 0.640 0.640 0.686
Ga: 0.067 0.067 0.388
Ga: 0.289 0.289 0.936
Ga: 0.711 0.711 0.064
Ga: 0.933 0.933 0.612
Ir: 0.319 0.319 0.643
Ir: 0.681 0.681 0.357


The following is a DFT calculation (PBE-GGA) of crystalline Zr6Ga3Ir at its relaxed geometry.

Cell lengths 5.441, 7.831, 11.238 Å; angles 90.00, 117.94, 90.00 degrees
Fractional coordinates of all 20 atoms:
Zr: 0.020 0.169 0.430
Zr: 0.020 0.331 0.930
Zr: 0.338 0.677 0.430
Zr: 0.338 0.823 0.930
Zr: 0.398 0.040 0.253
Zr: 0.398 0.460 0.753
Zr: 0.602 0.540 0.247
Zr: 0.602 0.960 0.747
Zr: 0.662 0.177 0.070
Zr: 0.662 0.323 0.570
Zr: 0.980 0.669 0.070
Zr: 0.980 0.831 0.570
Ga: 0.000 0.000 0.000
Ga: 0.000 0.500 0.500
Ga: 0.146 0.124 0.756
Ga: 0.146 0.376 0.256
Ga: 0.854 0.624 0.744
Ga: 0.854 0.876 0.244
Ir: 0.500 0.000 0.500
Ir: 0.500 0.500 0.000


The following is a DFT calculation (PBE-GGA) of crystalline ZrGaIr2 at its relaxed geometry.

Cell lengths 4.214, 4.214, 3.648 Å; angles 90.00, 90.00, 90.00 degrees
Fractional coordinates of all 4 atoms:
Zr: 0.000 0.000 0.000
Ga: 0.500 0.500 0.000
Ir: 0.000 0.500 0.500
Ir: 0.500 0.000 0.500


The following is a DFT calculation (PBE-GGA) of crystalline ZrGa2Ir at its relaxed geometry.

Cell lengths 4.024, 4.024, 4.140 Å; angles 90.00, 90.00, 90.00 degrees
Fractional coordinates of all 4 atoms:
Zr: 0.000 0.000 0.000
Ga: 0.000 0.500 0.500
Ga: 0.500 0.000 0.500
Ir: 0.500 0.500 0.000


The following is a DFT calculation (PBE-GGA) of crystalline ZrGaIr2 at its relaxed geometry.

Cell lengths 3.036, 3.036, 6.983 Å; angles 90.00, 90.00, 90.00 degrees
Fractional coordinates of all 4 atoms:
Zr: 0.000 0.000 0.000
Ga: 0.000 0.000 0.500
Ir: 0.500 0.500 0.276
Ir: 0.500 0.500 0.724


The following is a DFT calculation (PBE-GGA) of crystalline ZrGa2Ir at its relaxed geometry.

Cell lengths 5.111, 5.111, 5.111 Å; angles 48.49, 48.49, 48.49 degrees
Fractional coordinates of all 4 atoms:
Zr: 0.000 0.000 0.000
Ga: 0.227 0.227 0.227
Ga: 0.773 0.773 0.773
Ir: 0.500 0.500 0.500


The following is a DFT calculation (PBE-GGA) of crystalline ZrGa3Ir4 at its relaxed geometry.

Cell lengths 4.196, 4.196, 6.924 Å; angles 90.00, 90.00, 90.00 degrees
Fractional coordinates of all 8 atoms:
Zr: 0.000 0.000 0.000
Ga: 0.000 0.000 0.500
Ga: 0.500 0.500 0.000
Ga: 0.500 0.500 0.500
Ir: 0.000 0.500 0.268
Ir: 0.000 0.500 0.732
Ir: 0.500 0.000 0.268
Ir: 0.500 0.000 0.732


The following is a DFT calculation (PBE-GGA) of crystalline ZrGa2Ir at its relaxed geometry.

Cell lengths 4.532, 4.532, 4.532 Å; angles 60.00, 60.00, 60.00 degrees
Fractional coordinates of all 4 atoms:
Zr: 0.000 0.000 0.000
Ga: 0.250 0.250 0.250
Ga: 0.750 0.750 0.750
Ir: 0.500 0.500 0.500


The following is a DFT calculation (PBE-GGA) of crystalline Zr6Ga16Ir7 at its relaxed geometry.

Cell lengths 8.800, 8.800, 8.800 Å; angles 60.00, 60.00, 60.00 degrees
Fractional coordinates of all 29 atoms:
Zr: 0.197 0.197 0.803
Zr: 0.197 0.803 0.197
Zr: 0.197 0.803 0.803
Zr: 0.803 0.197 0.197
Zr: 0.803 0.197 0.803
Zr: 0.803 0.803 0.197
Ga: 0.132 0.623 0.623
Ga: 0.154 0.154 0.154
Ga: 0.154 0.154 0.537
Ga: 0.154 0.537 0.154
Ga: 0.377 0.377 0.377
Ga: 0.377 0.377 0.868
Ga: 0.377 0.868 0.377
Ga: 0.463 0.846 0.846
Ga: 0.537 0.154 0.154
Ga: 0.623 0.132 0.623
Ga: 0.623 0.623 0.132
Ga: 0.623 0.623 0.623
Ga: 0.846 0.463 0.846
Ga: 0.846 0.846 0.463
Ga: 0.846 0.846 0.846
Ga: 0.868 0.377 0.377
Ir: 0.000 0.000 0.500
Ir: 0.000 0.500 0.000
Ir: 0.000 0.500 0.500
Ir: 0.500 0.000 0.000
Ir: 0.500 0.000 0.500
Ir: 0.500 0.500 0.000
Ir: 0.500 0.500 0.500


The following is a DFT calculation (PBE-GGA) of crystalline Zr2Ga8Ir at its relaxed geometry.

Cell lengths 4.227, 4.227, 10.811 Å; angles 90.00, 90.00, 90.00 degrees
Fractional coordinates of all 11 atoms:
Zr: 0.000 0.000 0.188
Zr: 0.000 0.000 0.812
Ga: 0.000 0.500 0.000
Ga: 0.000 0.500 0.371
Ga: 0.000 0.500 0.629
Ga: 0.500 0.000 0.000
Ga: 0.500 0.000 0.371
Ga: 0.500 0.000 0.629
Ga: 0.500 0.500 0.187
Ga: 0.500 0.500 0.813
Ir: 0.000 0.000 0.500


The following is a DFT calculation (PBE-GGA) of crystalline ZrGaIr2 at its relaxed geometry.

Cell lengths 5.742, 5.742, 5.742 Å; angles 104.69, 104.69, 119.53 degrees
Fractional coordinates of all 8 atoms:
Zr: 0.000 0.000 0.000
Zr: 0.750 0.250 0.500
Ga: 0.250 0.750 0.500
Ga: 0.500 0.500 0.000
Ir: 0.151 0.625 0.026
Ir: 0.375 0.401 0.526
Ir: 0.599 0.125 0.974
Ir: 0.875 0.849 0.474


The following is a DFT calculation (PBE-GGA) of crystalline ZrGaIr2 at its relaxed geometry.

Cell lengths 5.838, 5.838, 5.838 Å; angles 152.01, 131.45, 56.98 degrees
Fractional coordinates of all 4 atoms:
Zr: 0.000 0.000 0.000
Ga: 0.500 0.500 0.000
Ir: 0.261 0.261 0.000
Ir: 0.739 0.739 0.000


The following is a DFT calculation (PBE-GGA) of crystalline Zr2GaIr2 at its relaxed geometry.

Cell lengths 5.258, 5.258, 4.174 Å; angles 113.21, 113.21, 64.35 degrees
Fractional coordinates of all 5 atoms:
Zr: 0.200 0.200 0.199
Zr: 0.800 0.800 0.801
Ga: 0.500 0.500 0.000
Ir: 0.237 0.763 0.500
Ir: 0.763 0.237 0.500


The following is a DFT calculation (PBE-GGA) of crystalline Zr2Ga3Ir at its relaxed geometry.

Cell lengths 5.849, 5.849, 5.849 Å; angles 135.38, 124.21, 74.10 degrees
Fractional coordinates of all 6 atoms:
Zr: 0.179 0.179 0.000
Zr: 0.821 0.821 0.000
Ga: 0.000 0.500 0.500
Ga: 0.356 0.856 0.500
Ga: 0.644 0.144 0.500
Ir: 0.500 0.500 0.000


The following is a DFT calculation (PBE-GGA) of crystalline ZrGa2Ir at its relaxed geometry.

Cell lengths 8.187, 6.431, 5.271 Å; angles 90.00, 90.00, 90.00 degrees
Fractional coordinates of all 16 atoms:
Zr: 0.051 0.250 0.126
Zr: 0.449 0.750 0.626
Zr: 0.551 0.250 0.374
Zr: 0.949 0.750 0.874
Ga: 0.179 0.043 0.635
Ga: 0.179 0.457 0.635
Ga: 0.321 0.543 0.135
Ga: 0.321 0.957 0.135
Ga: 0.679 0.043 0.865
Ga: 0.679 0.457 0.865
Ga: 0.821 0.543 0.365
Ga: 0.821 0.957 0.365
Ir: 0.092 0.750 0.347
Ir: 0.408 0.250 0.847
Ir: 0.592 0.750 0.153
Ir: 0.908 0.250 0.653


The following is a DFT calculation (PBE-GGA) of crystalline Zr3Ga2Ir at its relaxed geometry.

Cell lengths 11.115, 4.274, 9.770 Å; angles 90.00, 90.00, 90.00 degrees
Fractional coordinates of all 24 atoms:
Zr: 0.043 0.250 0.146
Zr: 0.158 0.750 0.599
Zr: 0.226 0.250 0.824
Zr: 0.274 0.750 0.324
Zr: 0.342 0.250 0.099
Zr: 0.457 0.750 0.646
Zr: 0.543 0.250 0.354
Zr: 0.658 0.750 0.901
Zr: 0.726 0.250 0.676
Zr: 0.774 0.750 0.176
Zr: 0.842 0.250 0.401
Zr: 0.957 0.750 0.854
Ga: 0.001 0.750 0.343
Ga: 0.169 0.750 0.026
Ga: 0.331 0.250 0.526
Ga: 0.499 0.250 0.843
Ga: 0.501 0.750 0.157
Ga: 0.669 0.750 0.474
Ga: 0.831 0.250 0.974
Ga: 0.999 0.250 0.657
Ir: 0.124 0.250 0.406
Ir: 0.376 0.750 0.906
Ir: 0.624 0.250 0.094
Ir: 0.876 0.750 0.594


The following is a DFT calculation (PBE-GGA) of crystalline Zr2GaIr2 at its relaxed geometry.

Cell lengths 7.566, 7.566, 3.259 Å; angles 90.00, 90.00, 90.00 degrees
Fractional coordinates of all 10 atoms:
Zr: 0.167 0.333 0.000
Zr: 0.333 0.833 0.000
Zr: 0.667 0.167 0.000
Zr: 0.833 0.667 0.000
Ga: 0.000 0.000 0.500
Ga: 0.500 0.500 0.500
Ir: 0.133 0.633 0.500
Ir: 0.367 0.133 0.500
Ir: 0.633 0.867 0.500
Ir: 0.867 0.367 0.500


The following is a DFT calculation (PBE-GGA) of crystalline Zr2Ga3Ir at its relaxed geometry.

Cell lengths 5.419, 5.419, 6.527 Å; angles 126.77, 126.77, 47.10 degrees
Fractional coordinates of all 6 atoms:
Zr: 0.000 0.000 0.000
Zr: 0.079 0.079 0.583
Ga: 0.376 0.376 0.171
Ga: 0.383 0.383 0.616
Ga: 0.708 0.708 0.395
Ir: 0.711 0.711 0.996


The following is a DFT calculation (PBE-GGA) of crystalline KGa3 at its relaxed geometry.

Cell lengths 3.153, 4.336, 7.490 Å; angles 90.00, 90.00, 90.00 degrees
Fractional coordinates of all 4 atoms:
K: 0.000 0.000 0.000
Ga: 0.000 0.500 0.644
Ga: 0.500 0.000 0.502
Ga: 0.500 0.500 0.302


The following is a DFT calculation (PBE-GGA) of crystalline KGa7 at its relaxed geometry.

Cell lengths 6.686, 6.686, 4.839 Å; angles 111.08, 111.08, 64.60 degrees
Fractional coordinates of all 8 atoms:
K: 0.000 0.000 0.000
Ga: 0.186 0.550 0.367
Ga: 0.254 0.254 0.752
Ga: 0.450 0.814 0.633
Ga: 0.500 0.500 0.000
Ga: 0.550 0.186 0.367
Ga: 0.746 0.746 0.248
Ga: 0.814 0.450 0.633


Number 1: formation enthalpy at 0 K -1.20 eV per formula unit, uncorrected energy -6.166 eV per atom, DOS(E_F) 2.171 states/eV/f.u.. Number 2: formation enthalpy at 0 K -2.67 eV per formula unit, uncorrected energy -5.364 eV per atom, DOS(E_F) 2.201 states/eV/f.u.. Number 3: formation enthalpy at 0 K -5.83 eV per formula unit, uncorrected energy -6.811 eV per atom, DOS(E_F) 4.297 states/eV/f.u.. Number 4: formation enthalpy at 0 K -3.76 eV per formula unit, uncorrected energy -7.299 eV per atom, DOS(E_F) 9.086 states/eV/f.u.. Number 5: formation enthalpy at 0 K -2.72 eV per formula unit, uncorrected energy -8.005 eV per atom, DOS(E_F) 1.981 states/eV/f.u.. Number 6: formation enthalpy at 0 K -2.03 eV per formula unit, uncorrected energy -6.372 eV per atom, DOS(E_F) 3.166 states/eV/f.u.. Number 7: formation enthalpy at 0 K -2.61 eV per formula unit, uncorrected energy -7.976 eV per atom, DOS(E_F) 1.706 states/eV/f.u.. Number 8: formation enthalpy at 0 K -2.13 eV per formula unit, uncorrected energy -6.399 eV per atom, DOS(E_F) 2.178 states/eV/f.u.. Number 9: formation enthalpy at 0 K -4.58 eV per formula unit, uncorrected energy -7.206 eV per atom, DOS(E_F) 2.603 states/eV/f.u.. Number 10: formation enthalpy at 0 K -1.56 eV per formula unit, uncorrected energy -6.255 eV per atom, DOS(E_F) 4.112 states/eV/f.u.. Number 11: formation enthalpy at 0 K -17.50 eV per formula unit, uncorrected energy -6.181 eV per atom, DOS(E_F) 19.484 states/eV/f.u.. Number 12: formation enthalpy at 0 K -5.19 eV per formula unit, uncorrected energy -5.033 eV per atom, DOS(E_F) 3.858 states/eV/f.u.. Number 13: formation enthalpy at 0 K -0.62 eV per formula unit, uncorrected energy -7.480 eV per atom, DOS(E_F) 3.033 states/eV/f.u.. Number 14: formation enthalpy at 0 K 0.26 eV per formula unit, uncorrected energy -7.259 eV per atom, DOS(E_F) 2.933 states/eV/f.u.. Number 15: formation enthalpy at 0 K -3.89 eV per formula unit, uncorrected energy -8.347 eV per atom, DOS(E_F) 4.443 states/eV/f.u.. Number 16: formation enthalpy at 0 K -1.26 eV per formula unit, uncorrected energy -6.050 eV per atom, DOS(E_F) 4.772 states/eV/f.u.. Number 17: formation enthalpy at 0 K -2.40 eV per formula unit, uncorrected energy -6.467 eV per atom, DOS(E_F) 2.085 states/eV/f.u.. Number 18: formation enthalpy at 0 K -3.70 eV per formula unit, uncorrected energy -7.377 eV per atom, DOS(E_F) 4.343 states/eV/f.u.. Number 19: formation enthalpy at 0 K -3.37 eV per formula unit, uncorrected energy -8.242 eV per atom, DOS(E_F) 4.190 states/eV/f.u.. Number 20: formation enthalpy at 0 K -3.89 eV per formula unit, uncorrected energy -6.487 eV per atom, DOS(E_F) 3.372 states/eV/f.u.. Number 21: formation enthalpy at 0 K -0.05 eV per formula unit, uncorrected energy -2.557 eV per atom, DOS(E_F) 1.605 states/eV/f.u.. Number 22: formation enthalpy at 0 K -0.51 eV per formula unit, uncorrected energy -2.850 eV per atom, DOS(E_F) 2.079 states/eV/f.u..